Record 1
Here is a geometry-optimized Li4Cd3Ag4 structure from the Alexandria database. Energies are from PBE.

abc: 4.188 6.849 14.192
angles: 90.00 90.00 90.00
Space group Immm (No. 71)
Inequivalent atoms, fractional coordinates:
Li1 0.000 0.213 0.174 [8 per cell]
Cd1 0.000 0.000 0.369 [4 per cell]
Cd2 0.000 0.500 0.500 [2 per cell]
Ag1 0.000 0.300 0.000 [4 per cell]
Ag2 0.000 0.500 0.295 [4 per cell]

Excess energy over the best structure of this formula in the dataset (meV/atom): 144
Calculated density (Mg/m³): 6.50

=====

Record 2
Here is a geometry-optimized HfZr2Pa structure from the Alexandria database. Energies are from PBE.

abc: 3.1863 3.1863 32.0361
angles: 90.00 90.00 120.00
Space group R3m (No. 160, hexagonal axes)
Inequivalent atoms, fractional coordinates:
Hf1 0.0000 0.0000 0.0000 [3 per cell]
Zr1 0.0000 0.0000 0.4147 [3 per cell]
Zr2 0.0000 0.0000 0.5853 [3 per cell]
Pa1 0.0000 0.0000 0.1671 [3 per cell]

Excess energy over the best structure of this formula in the dataset (meV/atom): 0
Calculated density (Mg/m³): 10.47

=====

Record 3
Here is a geometry-optimized Sr2PaZn2N4 structure from the Alexandria database. Energies are from PBE.

abc: 13.555 3.504 6.542
angles: 90.00 112.93 90.00
Space group C2/m (No. 12)
Inequivalent atoms, fractional coordinates:
Sr1 0.135 0.000 0.058 [4 per cell]
Pa1 0.000 0.000 0.500 [2 per cell]
Zn1 0.182 0.500 0.520 [4 per cell]
N1 0.025 0.500 0.287 [4 per cell]
N2 0.185 0.000 0.714 [4 per cell]

ΔE_f (raw) (meV/atom): -627
Calculated density (Mg/m³): 6.88

=====

Record 4
Here is a geometry-optimized SrTaFe2 structure from the Alexandria database. Energies are from PBE.

abc: 3.2195 3.2195 25.3737
angles: 90.00 90.00 120.00
Space group R-3m (No. 166, hexagonal axes)
Inequivalent atoms, fractional coordinates:
Sr1 0.0000 0.0000 0.0000 [3 per cell]
Ta1 0.0000 0.0000 0.5000 [3 per cell]
Fe1 0.0000 0.0000 0.2351 [6 per cell]

Excess energy over the best structure of this formula in the dataset (meV/atom): 403
Calculated density (Mg/m³): 8.32

=====

Record 5
Here is a geometry-optimized BaAlSbH structure from the Alexandria database. Energies are from PBE.

abc: 8.967 4.449 5.074
angles: 90.00 93.07 90.00
Space group Cm (No. 8)
Inequivalent atoms, fractional coordinates:
Ba1 0.000 0.000 0.000 [2 per cell]
Al1 0.347 0.000 0.468 [2 per cell]
Sb1 0.170 0.500 0.538 [2 per cell]
H1 0.339 0.000 0.127 [2 per cell]

Calculated density (Mg/m³): 4.72
VASP energy (eV/atom): -3.799

=====

Record 6
Here is a geometry-optimized CeTh2Ni structure from the Alexandria database. Energies are from PBE.

abc: 3.654 9.687 6.229
angles: 90.00 107.02 90.00
Space group P2_1/m (No. 11)
Inequivalent atoms, fractional coordinates:
Ce1 0.090 0.250 0.177 [2 per cell]
Th1 0.363 0.057 0.727 [4 per cell]
Ni1 0.225 0.750 0.450 [2 per cell]

Excess energy over the best structure of this formula in the dataset (meV/atom): 0
Calculated density (Mg/m³): 10.44